1.
A plane-wave DFT calculation with PBE was carried out for a relaxed structure of Tb2Ga3Pt5.

Summary:
energy above the lowest structure with this stoichiometry = 0.0 meV per atom
E = -5.81 eV/atom

abc: 4.1737 25.0584 6.8377
angles: 90.00 90.00 90.00
Closest atoms and distances in Å follow each position.
Space group Cmc2_1 (No. 36)
One atom of each set of equivalent atoms:
1 Tb 0.0000 0.0260 0.0000 [4 per cell]  5 Ga 2.95-3.01, 8 Pt 3.05-3.25
2 Tb 0.0000 0.3240 0.9558 [4 per cell]  8 Pt 2.94-3.20, 3 Ga 3.24-3.26
3 Ga 0.0000 0.1253 0.7676 [4 per cell]  5 Pt 2.56-2.81
4 Ga 0.0000 0.2841 0.4095 [4 per cell]  6 Pt 2.51-2.69
5 Ga 0.0000 0.4575 0.8118 [4 per cell]  5 Pt 2.53-2.63
6 Pt 0.0000 0.0978 0.3603 [4 per cell]  2 Ga 2.53
7 Pt 0.0000 0.1955 0.1455 [4 per cell]  3 Ga 2.69-2.86, 5 Pt 2.86-2.96
8 Pt 0.0000 0.2261 0.7086 [4 per cell]  4 Ga 2.51-2.56
9 Pt 0.0000 0.3831 0.5410 [4 per cell]  4 Ga 2.63-2.81, 1 Pt 2.89
10 Pt 0.0000 0.4443 0.1833 [4 per cell]  4 Ga 2.56-2.78

***

2.
A plane-wave DFT calculation with PBE was carried out for a relaxed structure of Th2Zn5Ni5.

Summary:
E = -4.56 eV/atom

abc: 4.1787 5.1177 8.8751
angles: 90.00 90.00 90.00
Closest atoms and distances in Å follow each position.
Space group Pmmm (No. 47)
One atom of each set of equivalent atoms:
1 Th 0.0000 0.0000 0.0000 [1 per cell]  6 Ni 2.93-2.97
2 Th 0.0000 0.5000 0.5000 [1 per cell]  6 Ni 2.95-3.02, 4 Zn 3.30
3 Zn 0.5000 0.0000 0.5000 [1 per cell]  4 Ni 2.56, 4 Zn 2.61
4 Zn 0.5000 0.2527 0.2447 [4 per cell]  5 Ni 2.51-2.58, 3 Zn 2.53-2.61
5 Ni 0.0000 0.0000 0.3341 [2 per cell]  6 Zn 2.56-2.58
6 Ni 0.0000 0.5000 0.1599 [2 per cell]  2 Ni 2.53, 4 Zn 2.56
7 Ni 0.5000 0.5000 0.0000 [1 per cell]  4 Zn 2.51, 4 Ni 2.53